Record 1
KCuSiS3, relaxed, DFT GGA-PBE; final energy = -4.29 eV/atom; calculated volume = 236 Å³/cell; symmetry = Cmcm (63); crystal system = orthorhombic; density = 3.2 g cm⁻³
1.0
-0.110 5.197 5.131
-0.537 -6.940 -2.214
9.454 -1.177 1.395
Cu K S Si
2 2 6 2
direct
0.057 0.943 0.250
0.943 0.057 0.750
0.762 0.238 0.250
0.238 0.762 0.750
0.112 0.888 0.033
0.449 0.551 0.250
0.112 0.888 0.467
0.888 0.112 0.533
0.551 0.449 0.750
0.888 0.112 0.967
0.500 0.500 0.000
0.500 0.500 0.500

---

Record 2
PrYSn2Pt4, relaxed, DFT GGA-PBE; total magnetization = 0.001 μB per atom; final energy = -6.40 eV/atom; calculated volume = 169 Å³/cell; symmetry = P-6m2 (187); crystal system = hexagonal; density = 12.2 g cm⁻³
1.0
-0.717 1.200 4.388
-2.916 -2.876 -2.107
5.068 -7.185 2.793
Pr Pt Sn Y
1 4 2 1
direct
0.000 0.000 0.000
0.667 0.333 0.169
0.000 0.000 0.343
0.000 0.000 0.657
0.667 0.333 0.831
0.333 0.667 0.258
0.333 0.667 0.742
0.667 0.333 0.500